--- w ---
ZrTa2Pt2, relaxed, DFT PBE; crystal system = tetragonal; space-group type = P4/mbm
1.0
7.5819 0.0000 0.0000
0.0000 7.5819 0.0000
0.0000 0.0000 3.1954
Zr Ta Pt
2 4 4
direct
0.0000 0.0000 0.0000
0.5000 0.5000 0.0000
0.1729 0.3271 0.5000
0.3271 0.8271 0.5000
0.6729 0.1729 0.5000
0.8271 0.6729 0.5000
0.1272 0.6272 0.0000
0.3728 0.1272 0.0000
0.6272 0.8728 0.0000
0.8728 0.3728 0.0000



--- x ---
ZrTa2Pt2, relaxed, DFT PBE; crystal system = tetragonal; space-group type = P4/mbm
1.0
8.0059 0.0000 0.0000
0.0000 8.0059 0.0000
0.0000 0.0000 2.8491
Zr Ta Pt
2 4 4
direct
0.0000 0.0000 0.0000
0.5000 0.5000 0.0000
0.1634 0.3366 0.0000
0.3366 0.8366 0.0000
0.6634 0.1634 0.0000
0.8366 0.6634 0.0000
0.1323 0.6323 0.5000
0.3677 0.1323 0.5000
0.6323 0.8677 0.5000
0.8677 0.3677 0.5000



Q: Which of them is the least stable? A: x.



--- w ---
ZrTaPt4, relaxed, DFT PBE; crystal system = monoclinic; space-group type = C2/m
1.0
4.6527 -1.7148 0.0000
4.6527 1.7148 0.0000
-2.5900 0.0000 6.4510
Zr Ta Pt
1 1 4
direct
0.0000 0.0000 0.0000
0.0000 0.0000 0.5000
0.3378 0.3378 0.1813
0.3416 0.3416 0.6602
0.6584 0.6584 0.3398
0.6622 0.6622 0.8187



--- x ---
ZrTaPt4, relaxed, DFT PBE; crystal system = cubic; space-group type = F-43m
1.0
0.0000 3.7272 3.7272
3.7272 0.0000 3.7272
3.7272 3.7272 0.0000
Zr Ta Pt
1 1 4
direct
0.0000 0.0000 0.0000
0.7500 0.7500 0.7500
0.3752 0.3752 0.3752
0.3752 0.3752 0.8742
0.3752 0.8742 0.3752
0.8742 0.3752 0.3752



Q: Which of them is the least stable? A: x.



--- w ---
TbPt6, relaxed, DFT PBE; crystal system = cubic; space-group type = Im-3m
1.0
-3.5035 3.5035 3.5035
3.5035 -3.5035 3.5035
3.5035 3.5035 -3.5035
Tb Pt
1 6
direct
0.0000 0.0000 0.0000
0.2500 0.5000 0.7500
0.2500 0.7500 0.5000
0.5000 0.2500 0.7500
0.5000 0.7500 0.2500
0.7500 0.2500 0.5000
0.7500 0.5000 0.2500



--- x ---
TbPt6, relaxed, DFT PBE; crystal system = cubic; space-group type = Pm-3m
1.0
6.0610 0.0000 0.0000
0.0000 6.0610 0.0000
0.0000 0.0000 6.0610
Tb Pt
1 6
direct
0.0000 0.0000 0.0000
0.1956 0.5000 0.5000
0.5000 0.1956 0.5000
0.5000 0.5000 0.1956
0.5000 0.5000 0.8044
0.5000 0.8044 0.5000
0.8044 0.5000 0.5000



--- y ---
TbPt6, relaxed, DFT PBE; crystal system = orthorhombic; space-group type = Pnma
1.0
9.5048 0.0000 0.0000
0.0000 5.3533 0.0000
0.0000 0.0000 9.7580
Tb Pt
4 24
direct
0.2203 0.2500 0.0491
0.2797 0.7500 0.5491
0.7203 0.2500 0.4509
0.7797 0.7500 0.9509
0.0078 0.2500 0.5210
0.0402 0.5036 0.7597
0.0402 0.9964 0.7597
0.0755 0.7500 0.0130
0.2089 0.7500 0.2658
0.2103 0.2500 0.3350
0.2897 0.7500 0.8350
0.2911 0.2500 0.7658
0.4245 0.2500 0.5130
0.4598 0.0036 0.2597
0.4598 0.4964 0.2597
0.4922 0.7500 0.0210
0.5078 0.2500 0.9790
0.5402 0.5036 0.7403
0.5402 0.9964 0.7403
0.5755 0.7500 0.4870
0.7089 0.7500 0.2342
0.7103 0.2500 0.1650
0.7897 0.7500 0.6650
0.7911 0.2500 0.7342
0.9245 0.2500 0.9870
0.9598 0.0036 0.2403
0.9598 0.4964 0.2403
0.9922 0.7500 0.4790



Q: Which of them is the least stable? A: x.